Record 1
This record from Alexandria via LeMat-Bulk describes an optimized crystal structure of TeP2OF. The functional is PBE.

extended XYZ file:
```
5
Lattice="5.227 0.000 0.000 0.000 5.227 0.000 0.000 0.000 3.998" Properties=species:S:1:pos:R:3 pbc="T T T"
Te 0.000 0.000 0.000
P 0.000 2.613 0.000
P 2.613 0.000 0.000
O 0.000 0.000 1.999
F 2.613 2.613 1.999
```

Uncorrected energy (eV/atom): -3.54
Formation energy (no corrections) (kcal/mol of atoms): 14.24
Space-group type: P4/mmm (123)
Spin magnetization (μB per formula unit): 2.5
E above lowest polymorph (eV per atom): 0.000

=====

Record 2
This record from Alexandria via LeMat-Bulk describes an optimized crystal structure of Tb2PmPb. The functional is PBE.

extended XYZ file:
```
4
Lattice="3.630 0.000 0.000 0.000 3.630 0.000 0.000 0.000 9.469" Properties=species:S:1:pos:R:3 pbc="T T T"
Tb 0.000 0.000 2.187
Tb 0.000 0.000 7.282
Pm 1.815 1.815 4.734
Pb 1.815 1.815 0.000
```

Uncorrected energy (eV/atom): -4.64
Space-group type: P4/mmm (123)
Spin magnetization (μB per formula unit): 0.0
Energy of formation (eV/f.u.): -0.83
E above lowest polymorph (eV per atom): 0.097

=====

Record 3
This record from Alexandria via LeMat-Bulk describes an optimized crystal structure of MnPCSeN. The functional is PBE.

extended XYZ file:
```
5
Lattice="6.668 -1.433 0.000 6.668 1.433 0.000 -0.981 0.000 3.724" Properties=species:S:1:pos:R:3 pbc="T T T"
Mn 0.000 0.000 0.000
P 7.629 0.000 2.243
C 7.932 0.000 0.332
Se 3.704 0.000 3.245
N -0.013 0.000 1.987
```

Uncorrected energy (eV/atom): -6.78
Formation energy (no corrections) (kcal/mol of atoms): 7.92
Space-group type: Cm (8)
Spin magnetization (μB per formula unit): 1.9
E above lowest polymorph (eV per atom): 0.127

=====

Record 4
This record from Alexandria via LeMat-Bulk describes an optimized crystal structure of Tm3TlFe. The functional is PBE.

extended XYZ file:
```
10
Lattice="7.443 0.000 0.000 -3.721 6.445 0.000 0.000 0.000 5.205" Properties=species:S:1:pos:R:3 pbc="T T T"
Tm 0.000 2.311 1.301
Tm -1.720 5.290 1.301
Tm 2.001 1.155 3.904
Tm 1.720 5.290 1.301
Tm 5.441 1.155 3.904
Tm 3.721 4.135 3.904
Tl 0.000 4.297 3.904
Tl 3.721 2.148 1.301
Fe 0.000 0.000 0.000
Fe 0.000 0.000 2.603
```

Uncorrected energy (eV/atom): -4.98
Space-group type: P6_3/mmc (194)
Spin magnetization (μB per formula unit): 0.6
Energy of formation (eV/f.u.): -0.65
E above lowest polymorph (eV per atom): 0.054

=====

Record 5
This record from Alexandria via LeMat-Bulk describes an optimized crystal structure of DyErSn. The functional is PBE.

extended XYZ file:
```
3
Lattice="5.096 0.000 0.000 -2.548 4.413 0.000 0.000 0.000 3.804" Properties=species:S:1:pos:R:3 pbc="T T T"
Dy 0.000 0.000 0.000
Er 0.000 2.942 1.702
Sn 2.548 1.471 2.675
```

Uncorrected energy (eV/atom): -4.73
Space-group type: P3m1 (156)
Spin magnetization (μB per formula unit): 0.0
Energy of formation (eV/f.u.): -1.03
E above lowest polymorph (eV per atom): 0.237

=====

Record 6
This record from Alexandria via LeMat-Bulk describes an optimized crystal structure of Dy7YEr12. The functional is PBE.

extended XYZ file:
```
20
Lattice="6.356 3.669 4.512 -6.356 3.669 4.512 0.000 -7.339 4.512" Properties=species:S:1:pos:R:3 pbc="T T T"
Dy 0.000 0.000 0.000
Dy -1.711 -1.454 4.691
Dy -0.404 2.209 4.691
Dy 2.115 -0.755 4.691
Dy -2.115 0.755 8.845
Dy 0.404 -2.209 8.845
Dy 1.711 1.454 8.845
Y 0.000 0.000 6.768
Er -0.405 -2.209 2.043
Er -1.711 1.456 2.043
Er -3.587 1.130 5.644
Er -2.772 -2.541 7.892
Er 0.815 -3.671 5.644
Er 2.116 0.754 2.043
Er -2.116 -0.754 11.492
Er -0.815 3.671 7.892
Er 2.772 2.541 5.644
Er 3.587 -1.130 7.892
Er 1.711 -1.456 11.492
Er 0.405 2.209 11.492
```

Uncorrected energy (eV/atom): -4.36
Space-group type: R-3 (148)
Spin magnetization (μB per formula unit): 0.0
Energy of formation (eV/f.u.): 6.14
E above lowest polymorph (eV per atom): 0.000